Run i
Entry from Alexandria: a crystal of Li3SbS4 relaxed with PBEsol (meta-GGA SCAN).

a b c (Å): 5.6293 5.6293 6.6979
angles (deg): 114.85 114.85 90.00
Fractional positions:
1 Sb 0.0000 0.0000 0.0000
2 S 0.3681 0.8860 0.2541
3 Li 0.2500 0.7500 0.5000
4 Li 0.7500 0.2500 0.5000
5 S 0.6319 0.6319 0.7459
6 Li 0.5000 0.5000 0.0000
7 S 0.1140 0.1140 0.7459
8 S 0.8860 0.3681 0.2541

- Volume: 170.7 Å³ per cell
- DOS at the Fermi energy: 0.00 states/eV/cell
- Size of the total moment: 0.00 μB/cell

=====

Run ii
Entry from Alexandria: a crystal of Li3SbS4 relaxed with PBEsol (meta-GGA SCAN).

a b c (Å): 6.0882 6.0882 6.0882
angles (deg): 90.00 90.00 90.00
Fractional positions:
1 Li 0.0000 0.0000 0.5000
2 Li 0.5000 0.0000 0.0000
3 Li 0.0000 0.5000 0.0000
4 S 0.2215 0.7785 0.7785
5 S 0.7785 0.7785 0.2215
6 Sb 0.0000 0.0000 0.0000
7 S 0.7785 0.2215 0.7785
8 S 0.2215 0.2215 0.2215

- Volume: 225.7 Å³ per cell
- DOS at the Fermi energy: 0.00 states/eV/cell
- Size of the total moment: 0.00 μB/cell

=====

Run iii
Entry from Alexandria: a crystal of Li3SbS4 relaxed with PBEsol (meta-GGA SCAN).

a b c (Å): 7.0832 8.8407 10.0087
angles (deg): 90.00 90.00 90.00
Fractional positions:
1 Li 0.2737 0.4581 0.2441
2 Li 0.7263 0.5419 0.7559
3 Sb 0.4258 0.2500 0.9935
4 Li 0.7263 0.9581 0.7559
5 S 0.3617 0.7500 0.1890
6 Li 0.7737 0.0419 0.2559
7 S 0.4739 0.7500 0.7810
8 Li 0.2737 0.0419 0.2441
9 S 0.7100 0.4536 0.5172
10 S 0.7900 0.9536 0.0172
11 Li 0.9728 0.2500 0.9119
12 Li 0.2263 0.5419 0.7441
13 Sb 0.5742 0.7500 0.0065
14 Li 0.5272 0.7500 0.4119
15 S 0.8617 0.7500 0.3110
16 S 0.2100 0.0464 0.9828
17 S 0.5261 0.2500 0.2190
18 S 0.2900 0.9536 0.4828
19 S 0.1383 0.2500 0.6890
20 Li 0.7737 0.4581 0.2559
21 S 0.2100 0.4536 0.9828
22 Li 0.4728 0.2500 0.5881
23 Li 0.2263 0.9581 0.7441
24 Li 0.0272 0.7500 0.0881
25 S 0.7100 0.0464 0.5172
26 Sb 0.0742 0.7500 0.4935
27 S 0.7900 0.5464 0.0172
28 S 0.2900 0.5464 0.4828
29 S 0.9739 0.7500 0.7190
30 S 0.6383 0.2500 0.8110
31 Sb 0.9258 0.2500 0.5065
32 S 0.0261 0.2500 0.2810

- Volume: 626.8 Å³ per cell
- DOS at the Fermi energy: 0.00 states/eV/cell
- Size of the total moment: 0.00 μB/cell

=====

Q: Which of them is the least stable? A: run ii.

=====

Run i
Entry from Alexandria: a crystal of Li3SbS4 relaxed with PBEsol (meta-GGA SCAN).

a b c (Å): 6.3663 6.8167 7.9121
angles (deg): 90.00 90.00 90.00
Fractional positions:
1 Sb 0.0052 0.1727 0.0000
2 S 0.3795 0.1515 0.5000
3 S 0.3836 0.6642 0.7432
4 S 0.8836 0.3358 0.7568
5 S 0.3836 0.6642 0.2568
6 S 0.3754 0.1807 0.0000
7 Li 0.9955 0.1549 0.5000
8 Li 0.0030 0.6742 0.7545
9 S 0.8795 0.8485 0.0000
10 Li 0.5030 0.3258 0.2545
11 S 0.8836 0.3358 0.2432
12 Li 0.5030 0.3258 0.7455
13 S 0.8754 0.8193 0.5000
14 Sb 0.5052 0.8273 0.5000
15 Li 0.0030 0.6742 0.2455
16 Li 0.4955 0.8451 0.0000

- Volume: 343.4 Å³ per cell
- DOS at the Fermi energy: 0.00 states/eV/cell
- Size of the total moment: 0.00 μB/cell

=====

Run ii
Entry from Alexandria: a crystal of Li3SbS4 relaxed with PBEsol (meta-GGA SCAN).

a b c (Å): 6.2884 6.3907 7.3847
angles (deg): 90.00 90.00 109.56
Fractional positions:
1 S 0.9821 0.2529 0.3650
2 S 0.0179 0.7471 0.6350
3 S 0.0011 0.2368 0.8881
4 S 0.5179 0.7471 0.3650
5 Sb 0.7500 0.0000 0.1382
6 S 0.5011 0.2368 0.1119
7 Li 0.7500 0.5000 0.3835
8 Li 0.2500 0.5000 0.6165
9 Sb 0.2500 0.0000 0.8618
10 S 0.4989 0.7632 0.8881
11 S 0.4821 0.2529 0.6350
12 Li 0.2500 0.5000 0.1446
13 Li 0.7500 0.5000 0.8554
14 S 0.9989 0.7632 0.1119
15 Li 0.2500 0.0000 0.3868
16 Li 0.7500 0.0000 0.6132

- Volume: 279.6 Å³ per cell
- Size of the total moment: 0.00 μB/cell

=====

Q: Which of them is the least stable? A: run ii.